Record 1
Here is a relaxed NdSm2Dy3Ho6 crystal from Alexandria. Energies are from PBE.

Lattice parameters (Å, degrees): 6.1695 10.6771 11.7630 90.00 100.02 90.00
With the nearest neighbours (Å) after each atom.
Space group C2/m (No. 12)
Asymmetric unit:
Nd: 0.0000 0.0000 0.0000 x2  6 Sm 3.56, 6 Ho 3.57-3.58
Sm: 0.0000 0.3333 0.0000 x4  3 Sm 3.56, 3 Nd 3.56, 6 Ho 3.57-3.58
Dy: 0.0000 0.1667 0.5000 x4  6 Ho 3.52-3.53, 6 Dy 3.56
Dy: 0.0000 0.5000 0.5000 x2  6 Ho 3.53, 6 Dy 3.56
Ho: 0.2482 0.3332 0.7473 x8  3 Dy 3.52-3.53, 6 Ho 3.56, 2 Sm 3.57-3.58, 1 Nd 3.58
Ho: 0.2486 0.0000 0.7474 x4  3 Dy 3.53, 6 Ho 3.56, 1 Nd 3.57, 2 Sm 3.58

Output
E_tot: -4.61 eV per atom
density: 8.37 Mg/m³

***

Record 2
Here is a relaxed HfScZnNi crystal from Alexandria. Energies are from PBE.

Lattice parameters (Å, degrees): 6.5056 6.5056 6.5056 90.00 90.00 90.00
With the nearest neighbours (Å) after each atom.
Space group F-43m (No. 216)
Asymmetric unit:
Hf: 0.0000 0.0000 0.0000 x4  4 Zn 2.82, 4 Ni 2.82
Sc: 0.0000 0.0000 0.5000 x4  4 Ni 2.82, 4 Zn 2.82
Zn: 0.2500 0.2500 0.7500 x4  4 Hf 2.82, 4 Sc 2.82
Ni: 0.2500 0.2500 0.2500 x4  4 Hf 2.82, 4 Sc 2.82

Output
E_tot: -6.15 eV per atom
density: 8.38 Mg/m³
energy above the most stable polymorph in this dataset: 54 meV/atom

***

Record 3
Here is a relaxed Nd3Ga9Au2 crystal from Alexandria. Energies are from PBE.

Lattice parameters (Å, degrees): 4.3295 10.3230 12.6610 90.00 90.00 90.00
With the nearest neighbours (Å) after each atom.
Space group Immm (No. 71)
Asymmetric unit:
Nd: 0.0000 0.0000 0.0000 x2  12 Ga 3.29-3.30, 4 Au 3.59
Nd: 0.0000 0.0000 0.3213 x4  10 Ga 3.13-3.24, 2 Au 3.22
Ga: 0.0000 0.2713 0.1377 x8  4 Ga 2.67-2.93, 2 Au 2.78
Ga: 0.0000 0.3755 0.3322 x8  4 Ga 2.57-2.69, 1 Au 2.65
Ga: 0.0000 0.5000 0.0000 x2  4 Ga 2.93, 4 Nd 3.13, 4 Au 3.15
Au: 0.0000 0.2220 0.5000 x4  6 Ga 2.65-2.78

Output
E_tot: -4.01 eV per atom
density: 8.53 Mg/m³

***

For reference, formation enthalpy at 0 K by record: 2; -31; -55 kJ/mol of atoms.